No. 1
This record from OQMD via LeMat-Bulk describes crystalline PmAuSO at its relaxed geometry. The functional is GGA-PBE.

Results
For the total magnetic moment, the calculation gives 0.000 μB per formula unit. As for the total energy: -5.83 eV/atom. As for the mass density: 8.94 g cm⁻³.

Lattice parameters (Å, degrees): 7.5729 6.7198 5.6945 90.00 90.00 90.00
Element x y z (fractional)
Au 0.3215 0.2650 0.0995
Au 0.8215 0.7351 0.0995
Au 0.1785 0.2650 0.5995
Au 0.6785 0.7351 0.5995
O 0.1538 0.0105 0.1510
O 0.6538 0.9895 0.1510
O 0.3462 0.0105 0.6510
O 0.8462 0.9895 0.6510
Pm 0.5942 0.1806 0.4930
Pm 0.0942 0.8194 0.4930
Pm 0.9058 0.1806 0.9930
Pm 0.4058 0.8194 0.9930
S 0.5903 0.4140 0.0064
S 0.0903 0.5860 0.0064
S 0.9097 0.4140 0.5064
S 0.4097 0.5860 0.5064



No. 2
This record from OQMD via LeMat-Bulk describes crystalline PmAuSO at its relaxed geometry. The functional is GGA-PBE.

Results
For the total magnetic moment, the calculation gives 0.001 μB per formula unit. As for the total energy: -5.70 eV/atom. As for the mass density: 7.87 g cm⁻³.

Lattice parameters (Å, degrees): 4.1328 6.1549 6.4724 90.00 90.00 90.00
Element x y z (fractional)
Au 0.0000 0.2644 0.1088
Au 0.0000 0.7356 0.6088
O 0.5000 0.0714 0.1657
O 0.5000 0.9286 0.6657
Pm 0.5000 0.2241 0.4790
Pm 0.5000 0.7759 0.9790
S 0.0000 0.6320 0.2375
S 0.0000 0.3680 0.7375



No. 3
This record from OQMD via LeMat-Bulk describes crystalline PmAuSO at its relaxed geometry. The functional is GGA-PBE.

Results
For the total magnetic moment, the calculation gives 0.001 μB per formula unit. As for the total energy: -6.19 eV/atom. As for the mass density: 8.68 g cm⁻³.

Lattice parameters (Å, degrees): 4.0549 4.0549 9.0709 90.00 90.00 90.04
Element x y z (fractional)
Au 0.8731 0.1269 0.5000
Au 0.3731 0.6269 0.5000
O 0.6222 0.3778 0.0000
O 0.1222 0.8778 0.0000
Pm 0.1221 0.3779 0.1280
Pm 0.6221 0.8779 0.8720
S 0.6229 0.8771 0.2877
S 0.1229 0.3771 0.7123



No. 4
This record from OQMD via LeMat-Bulk describes crystalline PmTeAuO at its relaxed geometry. The functional is GGA-PBE.

Results
For the total magnetic moment, the calculation gives 0.001 μB per formula unit. As for the total energy: -5.81 eV/atom. As for the mass density: 9.11 g cm⁻³.

Lattice parameters (Å, degrees): 4.1322 4.1322 10.3630 90.00 90.00 90.28
Element x y z (fractional)
Au 0.8731 0.1269 0.5000
Au 0.3731 0.6269 0.5000
O 0.6221 0.3779 0.0000
O 0.1221 0.8779 0.0000
Pm 0.1222 0.3778 0.1090
Pm 0.6222 0.8778 0.8910
Te 0.6230 0.8770 0.2817
Te 0.1230 0.3770 0.7183



No. 5
This record from OQMD via LeMat-Bulk describes crystalline PmTeAuO at its relaxed geometry. The functional is GGA-PBE.

Results
For the total magnetic moment, the calculation gives 0.000 μB per formula unit. As for the total energy: -5.36 eV/atom. As for the mass density: 8.69 g cm⁻³.

Lattice parameters (Å, degrees): 4.5842 5.8078 6.9713 90.00 90.00 90.00
Element x y z (fractional)
Au 0.0000 0.1476 0.0896
Au 0.0000 0.8524 0.5896
O 0.5000 0.0347 0.1838
O 0.5000 0.9653 0.6838
Pm 0.5000 0.2244 0.4531
Pm 0.5000 0.7756 0.9531
Te 0.0000 0.6040 0.2646
Te 0.0000 0.3960 0.7646



No. 6
This record from OQMD via LeMat-Bulk describes crystalline PmTeAuO at its relaxed geometry. The functional is GGA-PBE.

Results
For the total magnetic moment, the calculation gives 0.001 μB per formula unit. As for the total energy: -5.76 eV/atom. As for the mass density: 9.50 g cm⁻³.

Lattice parameters (Å, degrees): 4.1212 4.1212 9.9921 90.00 90.00 90.00
Element x y z (fractional)
Au 0.7500 0.2500 0.5000
Au 0.2500 0.7500 0.5000
O 0.7500 0.2500 0.0000
O 0.2500 0.7500 0.0000
Pm 0.2500 0.2500 0.1131
Pm 0.7500 0.7500 0.8869
Te 0.7500 0.7500 0.2914
Te 0.2500 0.2500 0.7086



No. 7
This record from OQMD via LeMat-Bulk describes crystalline PmTeAuO at its relaxed geometry. The functional is GGA-PBE.

Results
For the total magnetic moment, the calculation gives 0.000 μB per formula unit. As for the total energy: -5.81 eV/atom. As for the mass density: 9.14 g cm⁻³.

Lattice parameters (Å, degrees): 4.1281 4.1281 20.7116 90.00 90.00 90.25
Element x y z (fractional)
Au 0.7160 0.2791 0.2498
Au 0.2160 0.7791 0.2502
Au 0.2209 0.7840 0.7498
Au 0.7209 0.2840 0.7502
O 0.9650 0.0350 0.0000
O 0.4650 0.5350 0.0000
O 0.9650 0.0350 0.5000
O 0.4650 0.5350 0.5000
Pm 0.4648 0.0349 0.0545
Pm 0.9648 0.5349 0.4455
Pm 0.4651 0.0352 0.5545
Pm 0.9651 0.5352 0.9455
Te 0.9639 0.5334 0.1409
Te 0.4639 0.0334 0.3591
Te 0.9666 0.5361 0.6409
Te 0.4666 0.0361 0.8591



No. 8
This record from OQMD via LeMat-Bulk describes crystalline PmTeAuO at its relaxed geometry. The functional is GGA-PBE.

Results
For the total magnetic moment, the calculation gives 0.001 μB per formula unit. As for the total energy: -5.80 eV/atom. As for the mass density: 9.18 g cm⁻³.

Lattice parameters (Å, degrees): 5.8394 10.2855 5.8519 90.00 90.00 90.00
Element x y z (fractional)
Au 0.7500 0.0000 0.0062
Au 0.2500 0.0000 0.4938
Au 0.7500 0.0000 0.5062
Au 0.2500 0.0000 0.9938
O 0.7500 0.5000 0.2491
O 0.2500 0.5000 0.2509
O 0.7500 0.5000 0.7491
O 0.2500 0.5000 0.7509
Pm 0.5000 0.3907 0.0000
Pm 0.0000 0.6093 0.0000
Pm 0.0000 0.3907 0.5000
Pm 0.5000 0.6093 0.5000
Te 0.0000 0.2188 0.0000
Te 0.5000 0.7812 0.0000
Te 0.5000 0.2188 0.5000
Te 0.0000 0.7812 0.5000